An optimized crystal structure of CrAs2OsSe. Source: Alexandria via LeMat-Bulk, functional GGA-PBEsol.

a b c (Å): 4.584 4.584 5.461
angles (deg): 90.00 90.00 90.00
Fractional coordinates of all 5 atoms:
Cr 0.500 0.500 0.500
As 0.000 0.500 0.000
As 0.500 0.000 0.000
Os 0.000 0.000 0.000
Se 0.000 0.000 0.500

Values from the calculation:
final energy = -6.385 eV/atom
energy relative to the elements, uncorrected = 0.919 eV per atom
symmetry = P4/mmm (123)